PmHgPd (PBE, optimized geometry); energy of formation = -0.5831 eV per atom; SG = P4/nmm (129); excess energy over the best structure of this formula in the dataset = 0.0944 eV/atom
1.0
4.312 0.000 0.000
0.000 4.312 0.000
0.000 0.000 7.649
Pm Hg Pd
2 2 2
direct
0.250 0.250 0.163 Pm
0.750 0.750 0.837 Pm
0.250 0.750 0.500 Hg
0.750 0.250 0.500 Hg
0.250 0.250 0.776 Pd
0.750 0.750 0.224 Pd


Pm2Hg2Pd3 (PBE, optimized geometry); energy of formation = -0.6541 eV per atom; SG = C2/m (12)
1.0
5.064 -2.146 0.000
5.064 2.146 0.000
-2.098 0.000 7.070
Pm Hg Pd
2 2 3
direct
0.126 0.126 0.293 Pm
0.874 0.874 0.707 Pm
0.376 0.376 0.071 Hg
0.624 0.624 0.929 Hg
0.167 0.167 0.701 Pd
0.500 0.500 0.500 Pd
0.833 0.833 0.299 Pd


Pm12HgPd6 (PBE, optimized geometry); energy of formation = -0.3892 eV per atom; SG = R-3 (148)
1.0
6.834 3.946 3.661
-6.834 3.946 3.661
0.000 -7.891 3.661
Pm Hg Pd
12 1 6
direct
0.072 0.670 0.926 Pm
0.074 0.928 0.330 Pm
0.168 0.409 0.557 Pm
0.330 0.074 0.928 Pm
0.409 0.557 0.168 Pm
0.443 0.832 0.591 Pm
0.557 0.168 0.409 Pm
0.591 0.443 0.832 Pm
0.670 0.926 0.072 Pm
0.832 0.591 0.443 Pm
0.926 0.072 0.670 Pm
0.928 0.330 0.074 Pm
0.000 0.000 0.000 Hg
0.146 0.619 0.320 Pd
0.320 0.146 0.619 Pd
0.381 0.680 0.854 Pd
0.619 0.320 0.146 Pd
0.680 0.854 0.381 Pd
0.854 0.381 0.680 Pd


Pm2HgPd (PBE, optimized geometry); energy of formation = -0.5827 eV per atom; SG = Fm-3m (225); excess energy over the best structure of this formula in the dataset = 0.0366 eV/atom
1.0
0.000 3.708 3.708
3.708 0.000 3.708
3.708 3.708 0.000
Pm Hg Pd
2 1 1
direct
0.250 0.250 0.250 Pm
0.750 0.750 0.750 Pm
0.000 0.000 0.000 Hg
0.500 0.500 0.500 Pd


no.,total magnetic moment (μB per formula unit)
1,0.00
2,0.00
3,0.00
4,0.00